PBE with a Hubbard U NaCoPO2, relaxed; energy relative to the lowest polymorph listed for this composition = 5.47 eV per formula unit; magnetic moment = 4.86 μB/cell; theoretical density = 2.9 g/cm3; VASP energy = -16.7 eV per cell; space group = P4/mmm (123)
1.0
-0.794 -1.779 -3.512
-0.283 -3.548 1.861
-4.988 0.781 0.731
P Co O Na
1 1 2 1
Cartesian
-2.494 0.391 0.366 P
-3.032 -2.273 -0.460 Co
-0.141 -1.774 0.931 O
-0.397 -0.890 -1.756 O
0.000 0.000 0.000 Na